Rb3Zn2Bi4, relaxed, DFT PBE-GGA; SG = C2/m, No. 12; ΔE_f = -0.233 eV/atom
1.0
7.6197 -2.2961 0.0000
7.6197 2.2961 0.0000
-2.1620 0.0000 9.5106
Rb Zn Bi
3 2 4
direct
0.0000 0.0000 0.0000
0.4014 0.4014 0.3150
0.5986 0.5986 0.6850
0.2665 0.2665 0.6130
0.7335 0.7335 0.3870
0.1228 0.1228 0.3754
0.2899 0.2899 0.9222
0.7101 0.7101 0.0778
0.8772 0.8772 0.6246



RbZn2Bi2, relaxed, DFT PBE-GGA; SG = P4/nmm, No. 129; ΔE_f = -0.150 eV/atom; polymorph energy (0 for the lowest one) = 7 meV per atom
1.0
5.1073 0.0000 0.0000
0.0000 5.1073 0.0000
0.0000 0.0000 11.5250
Rb Zn Bi
2 4 4
direct
0.2500 0.2500 0.2415
0.7500 0.7500 0.7585
0.2500 0.2500 0.6312
0.2500 0.7500 0.0000
0.7500 0.2500 0.0000
0.7500 0.7500 0.3688
0.2500 0.2500 0.8758
0.2500 0.7500 0.5000
0.7500 0.2500 0.5000
0.7500 0.7500 0.1242



Rb2Zn2Bi, relaxed, DFT PBE-GGA; SG = P4/mbm, No. 127; ΔE_f = -0.033 eV/atom; polymorph energy (0 for the lowest one) = 0 meV per atom
1.0
7.7764 0.0000 0.0000
0.0000 7.7764 0.0000
0.0000 0.0000 5.7635
Rb Zn Bi
4 4 2
direct
0.1885 0.3115 0.0000
0.3115 0.8115 0.0000
0.6885 0.1885 0.0000
0.8115 0.6885 0.0000
0.1193 0.6193 0.5000
0.3807 0.1193 0.5000
0.6193 0.8807 0.5000
0.8807 0.3807 0.5000
0.0000 0.0000 0.5000
0.5000 0.5000 0.5000



RbZn2Bi2, relaxed, DFT PBE-GGA; SG = I4/mmm, No. 139; ΔE_f = -0.156 eV/atom; polymorph energy (0 for the lowest one) = 0 meV per atom
1.0
-2.1444 2.1444 8.6782
2.1444 -2.1444 8.6782
2.1444 2.1444 -8.6782
Rb Zn Bi
1 2 2
direct
0.0000 0.0000 0.0000
0.2500 0.7500 0.5000
0.7500 0.2500 0.5000
0.3572 0.3572 0.0000
0.6428 0.6428 0.0000



RbZnBi, relaxed, DFT PBE-GGA; SG = I4mm, No. 107; ΔE_f = -0.044 eV/atom
1.0
-2.0748 2.0748 6.5135
2.0748 -2.0748 6.5135
2.0748 2.0748 -6.5135
Rb Zn Bi
1 1 1
direct
0.0000 0.0000 0.0000
0.2572 0.2572 0.0000
0.7210 0.7210 0.0000



RbZn2Bi2, relaxed, DFT PBE-GGA; SG = P4/mbm, No. 127; ΔE_f = 0.067 eV/atom; polymorph energy (0 for the lowest one) = 224 meV per atom
1.0
9.2315 0.0000 0.0000
0.0000 9.2315 0.0000
0.0000 0.0000 3.4455
Rb Zn Bi
2 4 4
direct
0.0000 0.0000 0.0000
0.5000 0.5000 0.0000
0.1517 0.3483 0.5000
0.3483 0.8483 0.5000
0.6517 0.1517 0.5000
0.8483 0.6517 0.5000
0.1344 0.6344 0.0000
0.3656 0.1344 0.0000
0.6344 0.8656 0.0000
0.8656 0.3656 0.0000



RbZn3Bi3, relaxed, DFT PBE-GGA; SG = R-3, No. 148; ΔE_f = -0.047 eV/atom; polymorph energy (0 for the lowest one) = 0 meV per atom
1.0
3.7215 2.1486 9.9258
-3.7215 2.1486 9.9258
0.0000 -4.2972 9.9258
Rb Zn Bi
2 6 6
direct
0.1664 0.1664 0.1664
0.8336 0.8336 0.8336
0.0152 0.6994 0.3578
0.3006 0.6422 0.9848
0.3578 0.0152 0.6994
0.6422 0.9848 0.3006
0.6994 0.3578 0.0152
0.9848 0.3006 0.6422
0.0796 0.4040 0.7259
0.2741 0.9204 0.5960
0.4040 0.7259 0.0796
0.5960 0.2741 0.9204
0.7259 0.0796 0.4040
0.9204 0.5960 0.2741



Rb3ZnBi, relaxed, DFT PBE-GGA; SG = Ima2, No. 46; ΔE_f = -0.036 eV/atom; polymorph energy (0 for the lowest one) = 0 meV per atom
1.0
-7.3403 4.4083 4.1973
7.3403 -4.4083 4.1973
7.3403 4.4083 -4.1973
Rb Zn Bi
6 2 2
direct
0.2494 0.0129 0.2623
0.2494 0.4871 0.7364
0.6564 0.9973 0.1591
0.7506 0.5129 0.2636
0.7506 0.9871 0.7377
0.8382 0.4973 0.8409
0.2471 0.2471 0.5000
0.7470 0.7471 0.5000
0.1983 0.9970 0.7012
0.2958 0.4970 0.2988



RbZnBi, relaxed, DFT PBE-GGA; SG = Pnma, No. 62; ΔE_f = -0.161 eV/atom
1.0
13.9756 0.0000 0.0000
0.0000 6.2280 0.0000
0.0000 0.0000 6.9793
Rb Zn Bi
4 4 4
direct
0.1322 0.2500 0.0178
0.3678 0.7500 0.5178
0.6322 0.2500 0.4822
0.8678 0.7500 0.9822
0.0000 0.0000 0.5000
0.0000 0.5000 0.5000
0.5000 0.0000 0.0000
0.5000 0.5000 0.0000
0.1124 0.7500 0.7034
0.3876 0.2500 0.2034
0.6124 0.7500 0.7966
0.8876 0.2500 0.2966



Rb2Zn2Bi, relaxed, DFT PBE-GGA; SG = I4/mmm, No. 139; ΔE_f = 0.264 eV/atom; polymorph energy (0 for the lowest one) = 297 meV per atom
1.0
-2.7393 2.7393 6.4157
2.7393 -2.7393 6.4157
2.7393 2.7393 -6.4157
Rb Zn Bi
2 2 1
direct
0.2500 0.7500 0.5000
0.7500 0.2500 0.5000
0.0941 0.0941 0.0000
0.9059 0.9059 0.0000
0.5000 0.5000 0.0000



RbZn2Bi2, relaxed, DFT PBE-GGA; SG = P4/mbm, No. 127; ΔE_f = 0.021 eV/atom; polymorph energy (0 for the lowest one) = 177 meV per atom
1.0
8.9009 0.0000 0.0000
0.0000 8.9009 0.0000
0.0000 0.0000 3.5689
Rb Zn Bi
2 4 4
direct
0.0000 0.0000 0.0000
0.5000 0.5000 0.0000
0.1252 0.3748 0.0000
0.3748 0.8748 0.0000
0.6252 0.1252 0.0000
0.8748 0.6252 0.0000
0.1572 0.6572 0.5000
0.3428 0.1572 0.5000
0.6572 0.8428 0.5000
0.8428 0.3428 0.5000



Rb3ZnBi, relaxed, DFT PBE-GGA; SG = Pm-3m, No. 221; ΔE_f = 0.025 eV/atom; polymorph energy (0 for the lowest one) = 61 meV per atom
1.0
7.2649 0.0000 0.0000
0.0000 7.2649 0.0000
0.0000 0.0000 7.2649
Rb Zn Bi
3 1 1
direct
0.0000 0.0000 0.5000
0.0000 0.5000 0.0000
0.5000 0.0000 0.0000
0.5000 0.5000 0.5000
0.0000 0.0000 0.0000



RbZnBi2, relaxed, DFT PBE-GGA; SG = P2_1/m, No. 11; ΔE_f = -0.158 eV/atom
1.0
5.8913 0.0000 0.0000
0.0000 4.7602 0.0000
-2.4777 0.0000 10.0195
Rb Zn Bi
2 2 4
direct
0.1298 0.2500 0.2105
0.8702 0.7500 0.7895
0.4040 0.2500 0.6492
0.5960 0.7500 0.3508
0.2352 0.7500 0.5030
0.3717 0.2500 0.9164
0.6283 0.7500 0.0836
0.7648 0.2500 0.4970